No. 1
Below is a geometry-optimized CaTlP2 structure, with properties calculated at the PBE level. Values from VASP.

- E above lowest polymorph: 161 meV per atom
- SG: No. 6
- N(E_F): 1.37 states/eV/cell
- M_tot: 0.00 μB per cell

```
&SYSTEM
  ibrav = 0, nat = 4, ntyp = 3
/
ATOMIC_SPECIES
Ca 40.08 Ca.upf
Tl 204.38 Tl.upf
P 30.97 P.upf
CELL_PARAMETERS angstrom
4.630 0.000 0.000
0.000 4.715 0.000
-1.228 0.000 4.473
ATOMIC_POSITIONS angstrom
Ca 0.000 0.000 0.000
Tl 2.616 2.357 1.546
P 0.368 2.357 3.263
P 0.990 0.000 2.778
```

***

No. 2
Below is a geometry-optimized CaTlP2 structure, with properties calculated at the PBE level. Values from VASP.

- E above lowest polymorph: 302 meV per atom
- SG: No. 122
- N(E_F): 10.17 states/eV/cell
- M_tot: 0.00 μB per cell

```
&SYSTEM
  ibrav = 0, nat = 16, ntyp = 3
/
ATOMIC_SPECIES
Ca 40.08 Ca.upf
Tl 204.38 Tl.upf
P 30.97 P.upf
CELL_PARAMETERS angstrom
7.397 0.000 0.000
0.000 7.397 0.000
0.000 0.000 7.095
ATOMIC_POSITIONS angstrom
Ca 0.000 0.000 0.000
Ca 0.000 3.699 1.774
Ca 3.699 0.000 5.321
Ca 3.699 3.699 3.548
Tl 0.000 0.000 3.548
Tl 0.000 3.699 5.321
Tl 3.699 0.000 1.774
Tl 3.699 3.699 0.000
P 1.638 1.849 4.434
P 1.849 5.337 6.208
P 1.849 5.759 2.661
P 2.060 1.849 0.887
P 5.337 5.548 0.887
P 5.548 1.638 2.661
P 5.548 2.060 6.208
P 5.759 5.548 4.434
```

***

No. 3
Below is a geometry-optimized CaTlP2 structure, with properties calculated at the PBE level. Values from VASP.

- E above lowest polymorph: 371 meV per atom
- SG: No. 123
- N(E_F): 2.35 states/eV/cell
- M_tot: 0.00 μB per cell

```
&SYSTEM
  ibrav = 0, nat = 4, ntyp = 3
/
ATOMIC_SPECIES
Ca 40.08 Ca.upf
Tl 204.38 Tl.upf
P 30.97 P.upf
CELL_PARAMETERS angstrom
3.230 0.000 0.000
0.000 3.230 0.000
0.000 0.000 8.846
ATOMIC_POSITIONS angstrom
Ca 0.000 0.000 0.000
Tl 0.000 0.000 4.423
P 1.615 1.615 1.975
P 1.615 1.615 6.871
```

***

No. 4
Below is a geometry-optimized CaTl4P structure, with properties calculated at the PBE level. Values from VASP.

- SG: No. 216
- N(E_F): 3.60 states/eV/cell
- M_tot: 0.00 μB per cell

```
&SYSTEM
  ibrav = 0, nat = 6, ntyp = 3
/
ATOMIC_SPECIES
Ca 40.08 Ca.upf
Tl 204.38 Tl.upf
P 30.97 P.upf
CELL_PARAMETERS angstrom
0.000 4.466 4.466
4.466 0.000 4.466
4.466 4.466 0.000
ATOMIC_POSITIONS angstrom
Ca 0.000 0.000 0.000
Tl 3.355 3.355 3.355
Tl 5.578 5.578 3.355
Tl 5.578 3.355 5.578
Tl 3.355 5.578 5.578
P 6.700 6.700 6.700
```

***

No. 5
Below is a geometry-optimized CaTlP2 structure, with properties calculated at the PBE level. Values from VASP.

- E above lowest polymorph: 283 meV per atom
- SG: No. 47
- N(E_F): 2.62 states/eV/cell
- M_tot: 0.00 μB per cell

```
&SYSTEM
  ibrav = 0, nat = 4, ntyp = 3
/
ATOMIC_SPECIES
Ca 40.08 Ca.upf
Tl 204.38 Tl.upf
P 30.97 P.upf
CELL_PARAMETERS angstrom
3.894 0.000 0.000
0.000 4.659 0.000
0.000 0.000 4.722
ATOMIC_POSITIONS angstrom
Ca 0.000 0.000 0.000
Tl 0.000 2.330 2.361
P 1.947 0.000 2.361
P 1.947 2.330 0.000
```

***

No. 6
Below is a geometry-optimized CaTlP2 structure, with properties calculated at the PBE level. Values from VASP.

- E above lowest polymorph: 128 meV per atom
- SG: No. 12
- N(E_F): 3.25 states/eV/cell
- M_tot: 0.00 μB per cell

```
&SYSTEM
  ibrav = 0, nat = 8, ntyp = 3
/
ATOMIC_SPECIES
Ca 40.08 Ca.upf
Tl 204.38 Tl.upf
P 30.97 P.upf
CELL_PARAMETERS angstrom
10.350 0.000 0.000
0.000 3.395 0.000
-0.275 0.000 5.919
ATOMIC_POSITIONS angstrom
Ca 0.000 0.000 0.000
Ca 5.175 1.697 0.000
Tl -0.138 1.697 2.959
Tl 5.037 0.000 2.959
P 2.433 1.697 0.743
P 2.467 0.000 5.176
P 7.608 0.000 0.743
P 7.642 1.697 5.176
```

***

No. 7
Below is a geometry-optimized CaTlP2 structure, with properties calculated at the PBE level. Values from VASP.

- E above lowest polymorph: 125 meV per atom
- SG: No. 44
- N(E_F): 3.96 states/eV/cell
- M_tot: 0.00 μB per cell

```
&SYSTEM
  ibrav = 0, nat = 8, ntyp = 3
/
ATOMIC_SPECIES
Ca 40.08 Ca.upf
Tl 204.38 Tl.upf
P 30.97 P.upf
CELL_PARAMETERS angstrom
3.539 0.000 0.000
0.000 4.575 0.000
0.000 0.000 12.015
ATOMIC_POSITIONS angstrom
Ca 0.000 0.000 0.000
Ca 1.769 2.287 6.008
Tl 0.000 2.287 9.309
Tl 1.769 0.000 3.301
P 0.000 0.000 6.213
P 0.000 2.287 1.835
P 1.769 0.000 7.843
P 1.769 2.287 0.205
```

***

No. 8
Below is a geometry-optimized CaTl2P2 structure, with properties calculated at the PBE level. Values from VASP.

- E above lowest polymorph: 37 meV per atom
- SG: No. 139
- N(E_F): 5.63 states/eV/cell
- M_tot: 0.00 μB per cell

```
&SYSTEM
  ibrav = 0, nat = 10, ntyp = 3
/
ATOMIC_SPECIES
Ca 40.08 Ca.upf
Tl 204.38 Tl.upf
P 30.97 P.upf
CELL_PARAMETERS angstrom
4.269 0.000 0.000
0.000 4.269 0.000
0.000 0.000 14.389
ATOMIC_POSITIONS angstrom
Ca 0.000 0.000 0.000
Ca 2.134 2.134 7.194
Tl 0.000 2.134 3.597
Tl 0.000 2.134 10.791
Tl 2.134 0.000 3.597
Tl 2.134 0.000 10.791
P 0.000 0.000 6.121
P 0.000 0.000 8.268
P 2.134 2.134 1.073
P 2.134 2.134 13.315
```

***

No. 9
Below is a geometry-optimized CaTlP2 structure, with properties calculated at the PBE level. Values from VASP.

- E above lowest polymorph: 3 meV per atom
- SG: No. 8
- N(E_F): 3.82 states/eV/cell
- M_tot: 0.00 μB per cell

```
&SYSTEM
  ibrav = 0, nat = 8, ntyp = 3
/
ATOMIC_SPECIES
Ca 40.08 Ca.upf
Tl 204.38 Tl.upf
P 30.97 P.upf
CELL_PARAMETERS angstrom
13.258 0.000 0.000
0.000 3.837 0.000
-0.009 0.000 4.050
ATOMIC_POSITIONS angstrom
Ca 0.000 0.000 0.000
Ca 6.629 1.919 0.000
Tl 3.362 1.919 0.015
Tl 9.991 0.000 0.015
P 1.083 1.919 2.029
P 5.554 0.000 2.023
P 7.712 0.000 2.029
P 12.183 1.919 2.023
```

***

No. 10
Below is a geometry-optimized CaTlP2 structure, with properties calculated at the PBE level. Values from VASP.

- E above lowest polymorph: 273 meV per atom
- SG: No. 99
- N(E_F): 2.94 states/eV/cell
- M_tot: 0.00 μB per cell

```
&SYSTEM
  ibrav = 0, nat = 4, ntyp = 3
/
ATOMIC_SPECIES
Ca 40.08 Ca.upf
Tl 204.38 Tl.upf
P 30.97 P.upf
CELL_PARAMETERS angstrom
4.073 0.000 0.000
0.000 4.073 0.000
0.000 0.000 5.781
ATOMIC_POSITIONS angstrom
Ca 0.000 0.000 0.000
Tl 2.037 2.037 2.896
P 0.000 0.000 2.890
P 2.037 2.037 0.004
```

***

No. 11
Below is a geometry-optimized CaTlPW2 structure, with properties calculated at the PBE level. Values from VASP.

- SG: No. 123
- N(E_F): 3.53 states/eV/cell
- M_tot: 5.72 μB per cell

```
&SYSTEM
  ibrav = 0, nat = 5, ntyp = 4
/
ATOMIC_SPECIES
Ca 40.08 Ca.upf
Tl 204.38 Tl.upf
P 30.97 P.upf
W 183.84 W.upf
CELL_PARAMETERS angstrom
5.169 0.000 0.000
0.000 5.169 0.000
0.000 0.000 5.549
ATOMIC_POSITIONS angstrom
Ca 0.000 0.000 0.000
Tl 0.000 0.000 2.774
P 2.585 2.585 0.000
W 0.000 2.585 2.774
W 2.585 0.000 2.774
```

***

No. 12
Below is a geometry-optimized Ca2YTlP structure, with properties calculated at the PBE level. Values from VASP.

- SG: No. 123
- N(E_F): 5.30 states/eV/cell
- M_tot: 0.00 μB per cell

```
&SYSTEM
  ibrav = 0, nat = 5, ntyp = 4
/
ATOMIC_SPECIES
Ca 40.08 Ca.upf
Y 88.91 Y.upf
Tl 204.38 Tl.upf
P 30.97 P.upf
CELL_PARAMETERS angstrom
5.419 0.000 0.000
0.000 5.419 0.000
0.000 0.000 5.360
ATOMIC_POSITIONS angstrom
Ca 0.000 2.710 0.000
Ca 2.710 0.000 0.000
Y 0.000 0.000 2.680
Tl 2.710 2.710 2.680
P 0.000 0.000 0.000
```

***

No. 13
Below is a geometry-optimized CaTmP2 structure, with properties calculated at the PBE level. Values from VASP.

- E above lowest polymorph: 0 meV per atom
- SG: No. 166
- N(E_F): 9.75 states/eV/cell
- M_tot: 0.00 μB per cell

```
&SYSTEM
  ibrav = 0, nat = 12, ntyp = 3
/
ATOMIC_SPECIES
Ca 40.08 Ca.upf
Tm 168.93 Tm.upf
P 30.97 P.upf
CELL_PARAMETERS angstrom
3.990 0.000 0.000
-1.995 3.455 0.000
0.000 0.000 20.279
ATOMIC_POSITIONS angstrom
Ca 0.000 0.000 0.000
Ca 0.000 2.304 13.520
Ca 1.995 1.152 6.760
Tm 0.000 0.000 10.140
Tm 0.000 2.304 3.380
Tm 1.995 1.152 16.900
P 0.000 0.000 4.951
P 0.000 0.000 15.328
P 0.000 2.304 8.569
P 0.000 2.304 18.471
P 1.995 1.152 1.809
P 1.995 1.152 11.711
```

***

No. 14
Below is a geometry-optimized CaTm2P structure, with properties calculated at the PBE level. Values from VASP.

- SG: No. 166
- N(E_F): 11.75 states/eV/cell
- M_tot: 0.00 μB per cell

```
&SYSTEM
  ibrav = 0, nat = 12, ntyp = 3
/
ATOMIC_SPECIES
Ca 40.08 Ca.upf
Tm 168.93 Tm.upf
P 30.97 P.upf
CELL_PARAMETERS angstrom
3.774 0.000 0.000
-1.887 3.268 0.000
0.000 0.000 30.113
ATOMIC_POSITIONS angstrom
Ca 0.000 0.000 0.000
Ca 0.000 2.179 20.075
Ca 1.887 1.089 10.038
Tm 0.000 0.000 3.447
Tm 0.000 0.000 26.666
Tm 0.000 2.179 16.628
Tm 0.000 2.179 23.522
Tm 1.887 1.089 6.591
Tm 1.887 1.089 13.485
P 0.000 0.000 15.057
P 0.000 2.179 5.019
P 1.887 1.089 25.094
```

***

No. 15
Below is a geometry-optimized Ca2TmP structure, with properties calculated at the PBE level. Values from VASP.

- SG: No. 166
- N(E_F): 14.48 states/eV/cell
- M_tot: 1.80 μB per cell

```
&SYSTEM
  ibrav = 0, nat = 12, ntyp = 3
/
ATOMIC_SPECIES
Ca 40.08 Ca.upf
Tm 168.93 Tm.upf
P 30.97 P.upf
CELL_PARAMETERS angstrom
3.946 0.000 0.000
-1.973 3.418 0.000
0.000 0.000 31.557
ATOMIC_POSITIONS angstrom
Ca 0.000 0.000 3.724
Ca 0.000 0.000 27.834
Ca 0.000 2.278 17.315
Ca 0.000 2.278 24.762
Ca 1.973 1.139 6.796
Ca 1.973 1.139 14.243
Tm 0.000 0.000 0.000
Tm 0.000 2.278 21.038
Tm 1.973 1.139 10.519
P 0.000 0.000 15.779
P 0.000 2.278 5.260
P 1.973 1.139 26.298
```

***

No. 16
Below is a geometry-optimized CaTmP structure, with properties calculated at the PBE level. Values from VASP.

- SG: No. 164
- N(E_F): 12.73 states/eV/cell
- M_tot: 0.77 μB per cell

```
&SYSTEM
  ibrav = 0, nat = 12, ntyp = 3
/
ATOMIC_SPECIES
Ca 40.08 Ca.upf
Tm 168.93 Tm.upf
P 30.97 P.upf
CELL_PARAMETERS angstrom
3.891 0.000 0.000
-1.945 3.370 0.000
0.000 0.000 34.227
ATOMIC_POSITIONS angstrom
Ca 0.000 2.246 11.868
Ca 0.000 2.246 15.159
Ca 1.945 1.123 19.069
Ca 1.945 1.123 22.360
Tm 0.000 2.246 25.658
Tm 0.000 2.246 29.048
Tm 1.945 1.123 5.180
Tm 1.945 1.123 8.570
P 0.000 2.246 6.888
P 0.000 2.246 20.682
P 1.945 1.123 13.545
P 1.945 1.123 27.340
```

***

No. 17
Below is a geometry-optimized CaTmP2 structure, with properties calculated at the PBE level. Values from VASP.

- E above lowest polymorph: 69 meV per atom
- SG: No. 160
- N(E_F): 8.91 states/eV/cell
- M_tot: 0.00 μB per cell

```
&SYSTEM
  ibrav = 0, nat = 12, ntyp = 3
/
ATOMIC_SPECIES
Ca 40.08 Ca.upf
Tm 168.93 Tm.upf
P 30.97 P.upf
CELL_PARAMETERS angstrom
3.979 0.000 0.000
-1.989 3.446 0.000
0.000 0.000 20.738
ATOMIC_POSITIONS angstrom
Ca 0.000 0.000 0.000
Ca 0.000 2.297 13.825
Ca 1.989 1.149 6.913
Tm 0.000 0.000 17.154
Tm 0.000 2.297 10.242
Tm 1.989 1.149 3.329
P 0.000 0.000 4.963
P 0.000 0.000 8.705
P 0.000 2.297 1.793
P 0.000 2.297 18.789
P 1.989 1.149 11.876
P 1.989 1.149 15.618
```

***

No. 18
Below is a geometry-optimized CaTm2UP4 structure, with properties calculated at the PBE level. Values from VASP.

- SG: No. 10
- N(E_F): 6.44 states/eV/cell
- M_tot: 1.81 μB per cell

```
&SYSTEM
  ibrav = 0, nat = 8, ntyp = 4
/
ATOMIC_SPECIES
Ca 40.08 Ca.upf
Tm 168.93 Tm.upf
U 238.03 U.upf
P 30.97 P.upf
CELL_PARAMETERS angstrom
6.883 0.000 0.000
0.000 3.972 0.000
-2.240 0.000 6.517
ATOMIC_POSITIONS angstrom
Ca 0.000 0.000 0.000
Tm 2.321 0.000 3.259
Tm 3.441 1.986 0.000
U -1.120 1.986 3.259
P 0.060 0.000 4.845
P 1.146 1.986 1.719
P 3.497 1.986 4.798
P 4.582 0.000 1.673
```

***

No. 19
Below is a geometry-optimized Ca3TmU2P6 structure, with properties calculated at the PBE level. Values from VASP.

- SG: No. 12
- N(E_F): 13.23 states/eV/cell
- M_tot: 2.99 μB per cell

```
&SYSTEM
  ibrav = 0, nat = 12, ntyp = 4
/
ATOMIC_SPECIES
Ca 40.08 Ca.upf
Tm 168.93 Tm.upf
U 238.03 U.upf
P 30.97 P.upf
CELL_PARAMETERS angstrom
3.489 -6.041 0.000
3.489 6.041 0.000
-2.323 0.000 6.635
ATOMIC_POSITIONS angstrom
Ca 0.000 0.000 0.000
Ca 3.489 1.993 0.000
Ca 3.489 -1.993 0.000
Tm 2.327 0.000 3.318
U 2.327 4.025 3.318
U 2.327 -4.025 3.318
P 1.138 2.057 1.814
P -0.047 0.000 4.827
P 1.138 -2.057 1.814
P 3.517 2.057 4.821
P 4.701 0.000 1.808
P 3.517 -2.057 4.821
```

***

No. 20
Below is a geometry-optimized Ca3Tm2UP6 structure, with properties calculated at the PBE level. Values from VASP.

- SG: No. 12
- M_tot: 0.00 μB per cell

```
&SYSTEM
  ibrav = 0, nat = 12, ntyp = 4
/
ATOMIC_SPECIES
Ca 40.08 Ca.upf
Tm 168.93 Tm.upf
U 238.03 U.upf
P 30.97 P.upf
CELL_PARAMETERS angstrom
3.473 -6.014 0.000
3.473 6.014 0.000
-2.316 0.000 6.649
ATOMIC_POSITIONS angstrom
Ca 0.000 0.000 0.000
Ca 3.473 2.041 0.000
Ca 3.473 -2.041 0.000
Tm 2.315 4.014 3.325
Tm 2.315 -4.014 3.325
U 2.315 0.000 3.325
P 1.204 1.928 1.811
P 0.098 0.000 4.828
P 1.204 -1.928 1.811
P 3.425 1.928 4.839
P 4.531 0.000 1.821
P 3.425 -1.928 4.839
```

***

| no. | ΔH_f (0 K) (eV per formula unit) |
| --- | --- |
| 1 | -1.083 |
| 2 | -0.520 |
| 3 | -0.244 |
| 4 | 1.209 |
| 5 | -0.595 |
| 6 | -1.216 |
| 7 | -1.226 |
| 8 | -1.158 |
| 9 | -1.713 |
| 10 | -0.637 |
| 11 | 11.726 |
| 12 | -3.131 |
| 13 | -4.734 |
| 14 | -2.288 |
| 15 | -1.125 |
| 16 | -1.695 |
| 17 | -4.459 |
| 18 | -10.510 |
| 19 | -14.040 |
| 20 | -15.299 |